Record 1
Material: Sm8SiPt3Br4
Method: DFT, PBE
State: optimized geometry

Computed properties:
**Spin magnetization**: 0.00 μB per formula unit
**Raw formation energy**: -1.161 eV/atom
**Crystal system**: trigonal
**Calculated volume**: 461.6 Å³/f.u.
**Space group**: R-3m
**Total energy**: -86.56 eV for the cell shown

POSCAR file:
```
Sm8SiPt3Br4
1.0
4.2091 2.4301 7.5213
-4.2091 2.4301 7.5213
0.0000 -4.8602 7.5213
Sm Si Pt Br
8 1 3 4
Direct
0.2282 0.7370 0.7370 Sm
0.2325 0.2325 0.2325 Sm
0.2630 0.2630 0.7718 Sm
0.2630 0.7718 0.2630 Sm
0.7370 0.2282 0.7370 Sm
0.7370 0.7370 0.2282 Sm
0.7675 0.7675 0.7675 Sm
0.7718 0.2630 0.2630 Sm
0.5000 0.5000 0.5000 Si
0.0000 0.0000 0.5000 Pt
0.0000 0.5000 0.0000 Pt
0.5000 0.0000 0.0000 Pt
0.0000 0.0000 0.0000 Br
0.0000 0.5000 0.5000 Br
0.5000 0.0000 0.5000 Br
0.5000 0.5000 0.0000 Br
```


Record 2
Material: TaSiPt2Br
Method: DFT, PBE
State: optimized geometry

Computed properties:
**Spin magnetization**: 0.00 μB per formula unit
**Raw formation energy**: 1.440 eV/atom
**Crystal system**: tetragonal
**Calculated volume**: 106.4 Å³/f.u.
**Space group**: P4/mmm
**Polymorph energy (0 for the lowest one)**: 0.434 eV/atom
**Total energy**: -23.83 eV for the cell shown

POSCAR file:
```
TaSiPt2Br
1.0
4.7276 0.0000 0.0000
0.0000 4.7276 0.0000
0.0000 0.0000 4.7589
Ta Si Pt Br
1 1 2 1
Direct
0.0000 0.0000 0.0000 Ta
0.5000 0.5000 0.0000 Si
0.0000 0.5000 0.5000 Pt
0.5000 0.0000 0.5000 Pt
0.0000 0.0000 0.5000 Br
```


Record 3
Material: TaSiPt2Br
Method: DFT, PBE
State: optimized geometry

Computed properties:
**Spin magnetization**: 0.00 μB per formula unit
**Raw formation energy**: 1.006 eV/atom
**Crystal system**: tetragonal
**Calculated volume**: 124.4 Å³/f.u.
**Space group**: P4/mmm
**Polymorph energy (0 for the lowest one)**: 0.000 eV/atom
**Total energy**: -26.00 eV for the cell shown

POSCAR file:
```
TaSiPt2Br
1.0
4.9005 0.0000 0.0000
0.0000 4.9005 0.0000
0.0000 0.0000 5.1797
Ta Si Pt Br
1 1 2 1
Direct
0.0000 0.0000 0.0000 Ta
0.0000 0.0000 0.5000 Si
0.0000 0.5000 0.0000 Pt
0.5000 0.0000 0.0000 Pt
0.5000 0.5000 0.5000 Br
```


Record 4
Material: VSiPt2Br
Method: DFT, PBE
State: optimized geometry

Computed properties:
**Spin magnetization**: 0.09 μB per formula unit
**Raw formation energy**: 0.707 eV/atom
**Crystal system**: tetragonal
**Calculated volume**: 105.3 Å³/f.u.
**Space group**: P4/mmm
**Total energy**: -24.76 eV for the cell shown

POSCAR file:
```
VSiPt2Br
1.0
4.5138 0.0000 0.0000
0.0000 4.5138 0.0000
0.0000 0.0000 5.1703
V Si Pt Br
1 1 2 1
Direct
0.0000 0.0000 0.0000 V
0.5000 0.5000 0.5000 Si
0.0000 0.5000 0.5000 Pt
0.5000 0.0000 0.5000 Pt
0.5000 0.5000 0.0000 Br
```


Record 5
Material: SiPtW2Br
Method: DFT, PBE
State: optimized geometry

Computed properties:
**Spin magnetization**: 0.00 μB per formula unit
**Raw formation energy**: 2.222 eV/atom
**Crystal system**: tetragonal
**Calculated volume**: 98.5 Å³/f.u.
**Space group**: P4/mmm
**Total energy**: -27.93 eV for the cell shown

POSCAR file:
```
SiPtW2Br
1.0
4.5779 0.0000 0.0000
0.0000 4.5779 0.0000
0.0000 0.0000 4.7003
Si Pt W Br
1 1 2 1
Direct
0.0000 0.0000 0.0000 Si
0.5000 0.5000 0.0000 Pt
0.0000 0.5000 0.5000 W
0.5000 0.0000 0.5000 W
0.0000 0.0000 0.5000 Br
```


Record 6
Material: Zr2SiPtBr
Method: DFT, PBE
State: optimized geometry

Computed properties:
**Spin magnetization**: 0.00 μB per formula unit
**Raw formation energy**: 0.014 eV/atom
**Crystal system**: tetragonal
**Calculated volume**: 115.1 Å³/f.u.
**Space group**: P4/mmm
**Total energy**: -30.16 eV for the cell shown

POSCAR file:
```
Zr2SiPtBr
1.0
5.1096 0.0000 0.0000
0.0000 5.1096 0.0000
0.0000 0.0000 4.4094
Zr Si Pt Br
2 1 1 1
Direct
0.0000 0.5000 0.0000 Zr
0.5000 0.0000 0.0000 Zr
0.0000 0.0000 0.0000 Si
0.0000 0.0000 0.5000 Pt
0.5000 0.5000 0.5000 Br
```


Record 7
Material: Sm2PtBr3
Method: DFT, PBE
State: optimized geometry

Computed properties:
**Spin magnetization**: 0.00 μB per formula unit
**Raw formation energy**: -1.510 eV/atom
**Crystal system**: monoclinic
**Calculated volume**: 193.9 Å³/f.u.
**Space group**: C2/m
**Total energy**: -59.12 eV for the cell shown

POSCAR file:
```
Sm2PtBr3
1.0
8.9269 -2.1068 0.0000
8.9269 2.1068 0.0000
-6.6925 0.0000 10.3094
Sm Pt Br
4 2 6
Direct
0.1075 0.1075 0.4362 Sm
0.3596 0.3596 0.1878 Sm
0.6404 0.6404 0.8122 Sm
0.8925 0.8925 0.5638 Sm
0.0675 0.0675 0.6323 Pt
0.9325 0.9325 0.3677 Pt
0.1637 0.1637 0.0185 Br
0.2659 0.2659 0.3852 Br
0.4536 0.4536 0.7657 Br
0.5464 0.5464 0.2343 Br
0.7341 0.7341 0.6148 Br
0.8363 0.8363 0.9815 Br
```


Record 8
Material: Sm2PtBr
Method: DFT, PBE
State: optimized geometry

Computed properties:
**Spin magnetization**: 0.00 μB per formula unit
**Raw formation energy**: -1.255 eV/atom
**Crystal system**: trigonal
**Calculated volume**: 115.9 Å³/f.u.
**Space group**: R-3m
**Polymorph energy (0 for the lowest one)**: 0.000 eV/atom
**Total energy**: -22.17 eV for the cell shown

POSCAR file:
```
Sm2PtBr
1.0
2.0884 1.2057 7.6732
-2.0884 1.2057 7.6732
0.0000 -2.4114 7.6732
Sm Pt Br
2 1 1
Direct
0.2325 0.2325 0.2325 Sm
0.7675 0.7675 0.7675 Sm
0.5000 0.5000 0.5000 Pt
0.0000 0.0000 0.0000 Br
```


Record 9
Material: Sm4Pt2Br3
Method: DFT, PBE
State: optimized geometry

Computed properties:
**Spin magnetization**: 0.00 μB per formula unit
**Raw formation energy**: -1.390 eV/atom
**Crystal system**: monoclinic
**Calculated volume**: 277.4 Å³/f.u.
**Space group**: C2/m
**Total energy**: -48.49 eV for the cell shown

POSCAR file:
```
Sm4Pt2Br3
1.0
3.5716 -2.0621 0.0000
3.5716 2.0621 0.0000
-0.0189 0.0000 18.8321
Sm Pt Br
4 2 3
Direct
0.0008 0.0008 0.2946 Sm
0.3337 0.3337 0.1237 Sm
0.6663 0.6663 0.8763 Sm
0.9992 0.9992 0.7054 Sm
0.3328 0.3328 0.7955 Pt
0.6672 0.6672 0.2045 Pt
0.0000 0.0000 0.0000 Br
0.3344 0.3344 0.3959 Br
0.6656 0.6656 0.6041 Br
```


Record 10
Material: Sm4Pt2Br5
Method: DFT, PBE
State: optimized geometry

Computed properties:
**Spin magnetization**: 1.07 μB per formula unit
**Raw formation energy**: -0.754 eV/atom
**Crystal system**: orthorhombic
**Calculated volume**: 371.1 Å³/f.u.
**Space group**: Immm
**Total energy**: -47.62 eV for the cell shown

POSCAR file:
```
Sm4Pt2Br5
1.0
-1.9213 4.0192 12.0159
1.9213 -4.0192 12.0159
1.9213 4.0192 -12.0159
Sm Pt Br
4 2 5
Direct
0.1551 0.1551 0.0000 Sm
0.2124 0.5000 0.7124 Sm
0.7876 0.5000 0.2876 Sm
0.8449 0.8449 0.0000 Sm
0.2573 0.2573 0.0000 Pt
0.7427 0.7427 0.0000 Pt
0.1405 0.3793 0.7613 Br
0.3820 0.6207 0.7613 Br
0.5000 0.0000 0.5000 Br
0.6180 0.3793 0.2387 Br
0.8595 0.6207 0.2387 Br
```


Record 11
Material: Sm7PtBr12
Method: DFT, PBE
State: optimized geometry

Computed properties:
**Spin magnetization**: 0.98 μB per formula unit
**Raw formation energy**: -1.656 eV/atom
**Crystal system**: trigonal
**Calculated volume**: 690.6 Å³/f.u.
**Space group**: R-3
**Total energy**: -92.26 eV for the cell shown

POSCAR file:
```
Sm7PtBr12
1.0
7.6286 4.4044 3.4256
-7.6286 4.4044 3.4256
0.0000 -8.8087 3.4256
Sm Pt Br
7 1 12
Direct
0.0000 0.0000 0.0000 Sm
0.1792 0.3877 0.4677 Sm
0.3877 0.4677 0.1792 Sm
0.4677 0.1792 0.3877 Sm
0.5323 0.8208 0.6123 Sm
0.6123 0.5323 0.8208 Sm
0.8208 0.6123 0.5323 Sm
0.5000 0.5000 0.5000 Pt
0.0274 0.3362 0.1109 Br
0.1109 0.0274 0.3362 Br
0.1846 0.7193 0.5747 Br
0.2807 0.4253 0.8154 Br
0.3362 0.1109 0.0274 Br
0.4253 0.8154 0.2807 Br
0.5747 0.1846 0.7193 Br
0.6638 0.8891 0.9726 Br
0.7193 0.5747 0.1846 Br
0.8154 0.2807 0.4253 Br
0.8891 0.9726 0.6638 Br
0.9726 0.6638 0.8891 Br
```


Record 12
Material: SmPtBr
Method: DFT, PBE
State: optimized geometry

Computed properties:
**Spin magnetization**: 0.00 μB per formula unit
**Raw formation energy**: -1.241 eV/atom
**Crystal system**: monoclinic
**Calculated volume**: 82.7 Å³/f.u.
**Space group**: P2_1/m
**Total energy**: -32.31 eV for the cell shown

POSCAR file:
```
SmPtBr
1.0
5.1365 0.0000 0.0000
0.0000 4.2923 0.0000
-0.0016 0.0000 7.5039
Sm Pt Br
2 2 2
Direct
0.0760 0.2500 0.2913 Sm
0.9240 0.7500 0.7087 Sm
0.3459 0.7500 0.4704 Pt
0.6541 0.2500 0.5296 Pt
0.2512 0.2500 0.8988 Br
0.7488 0.7500 0.1012 Br
```


Question: What is the formula in the fourth record?
Answer: VSiPt2Br


Question: Which of these has the lowest calculated volume?
Answer: SmPtBr


Question: Which value of raw formation energy does entry 8 give?
Answer: -1.255 eV/atom